[1]
Here is an optimized crystal structure of ScTlAg2Ru from Alexandria via LeMat-Bulk. Energies are from GGA-PBE.

The calculation puts the density of states at the Fermi level at 7.33 states/eV/cell. Its total energy is -0.286 Ry per atom. The energy of formation is 0.84 eV per atom.

Lattice parameters (Å, degrees): 5.046 5.046 5.053 90.00 90.00 90.00
Space group P4/mmm (No. 123)
Symmetry-distinct sites (fractional):
Sc1 0.000 0.000 0.000 [1 per cell]
Tl1 0.500 0.500 0.000 [1 per cell]
Ag1 0.000 0.500 0.500 [2 per cell]
Ru1 0.500 0.500 0.500 [1 per cell]

---

[2]
Here is an optimized crystal structure of ScTl2AgRu from Alexandria via LeMat-Bulk. Energies are from GGA-PBE.

The calculation puts the density of states at the Fermi level at 6.09 states/eV/cell. Its total energy is -0.264 Ry per atom. The energy of formation is 1.05 eV per atom.

Lattice parameters (Å, degrees): 5.107 5.107 5.124 90.00 90.00 90.00
Space group P4/mmm (No. 123)
Symmetry-distinct sites (fractional):
Sc1 0.000 0.000 0.000 [1 per cell]
Tl1 0.000 0.500 0.500 [2 per cell]
Ag1 0.500 0.500 0.500 [1 per cell]
Ru1 0.500 0.500 0.000 [1 per cell]

---

Among the records above, which one has the highest energy of formation?
ScTl2AgRu

---

Look up the energy of formation of the second one.
1.05 eV per atom

---

Which of these has the lowest energy of formation?
ScTlAg2Ru